Record 1
The following is a DFT calculation (PBE-GGA) of crystalline BaLi2Ge at its relaxed geometry.

a = 4.637 Å, b = 4.637 Å, c = 6.047 Å
α = 67.46°, β = 67.46°, γ = 60.00°
Atoms (fractional coordinates):
Ge 0.500 0.500 0.500
Ba 0.000 0.000 0.000
Li 0.807 0.807 0.578
Li 0.193 0.193 0.422

Space-group type: R-3m
Total magnetic moment in μB/f.u.: 0.00
ΔE_f in eV/atom: -0.36
Total DFT energy (no corrections) in eV/atom: -2.953

Record 2
The following is a DFT calculation (PBE-GGA) of crystalline Ba2LiGe2 at its relaxed geometry.

a = 3.951 Å, b = 3.951 Å, c = 11.424 Å
α = 80.04°, β = 80.04°, γ = 90.00°
Atoms (fractional coordinates):
Ge 0.750 0.250 0.500
Ge 0.250 0.750 0.500
Ba 0.377 0.377 0.247
Ba 0.623 0.623 0.753
Li 0.000 0.000 0.000

Space-group type: I4/mmm
Total magnetic moment in μB/f.u.: 0.00
ΔE_f in eV/atom: -0.05
Total DFT energy (no corrections) in eV/atom: -3.052

Record 3
The following is a DFT calculation (PBE-GGA) of crystalline BaLi3Ge at its relaxed geometry.

a = 5.399 Å, b = 5.399 Å, c = 5.399 Å
α = 90.00°, β = 90.00°, γ = 90.00°
Atoms (fractional coordinates):
Ge 0.500 0.500 0.500
Ba 0.000 0.000 0.000
Li 0.000 0.500 0.000
Li 0.000 0.000 0.500
Li 0.500 0.000 0.000

Space-group type: Pm-3m
Energy above the most stable polymorph in this dataset in eV per formula unit: 6.766
Total magnetic moment in μB/f.u.: 0.00
ΔE_f in eV/atom: 1.11
Total DFT energy (no corrections) in eV/atom: -1.344

Record 4
The following is a DFT calculation (PBE-GGA) of crystalline Ba2LiGe7 at its relaxed geometry.

a = 4.673 Å, b = 4.673 Å, c = 11.209 Å
α = 90.00°, β = 90.00°, γ = 90.00°
Atoms (fractional coordinates):
Ba 0.500 0.000 0.751
Ba 0.000 0.500 0.249
Li 0.500 0.500 0.000
Ge 0.000 0.500 0.870
Ge 0.500 0.000 0.380
Ge 0.500 0.000 0.130
Ge 0.000 0.500 0.620
Ge 0.000 0.000 0.500
Ge 0.000 0.000 0.000
Ge 0.500 0.500 0.500

Space-group type: P-4m2
Total magnetic moment in μB/f.u.: 0.00
ΔE_f in eV/atom: -0.32
Total DFT energy (no corrections) in eV/atom: -4.128